An optimized crystal structure of Pm2ScBiO6, computed with GGA-PBE.

Geometry as POSCAR:
```
Pm2ScBiO6
1.0
5.4714 0.0000 0.0000
0.0000 5.4714 0.0000
0.0000 0.0000 5.5368
Pm Sc Bi O
2 1 1 6
direct
0.0000 0.5000 0.0000 Pm
0.5000 0.0000 0.0000 Pm
0.0000 0.0000 0.6028 Sc
0.5000 0.5000 0.5710 Bi
0.0000 0.0000 0.2441 O
0.2409 0.2409 0.7642 O
0.2409 0.7591 0.7642 O
0.5000 0.5000 0.1581 O
0.7591 0.2409 0.7642 O
0.7591 0.7591 0.7642 O
```

## Properties
E_tot = -7.609 eV per atom
E_form (uncorrected) = -2.663 eV/atom

***

An optimized crystal structure of NaZnCd2Ir, computed with GGA-PBE.

Geometry as POSCAR:
```
NaZnCd2Ir
1.0
5.2320 0.0000 0.0000
0.0000 5.2320 0.0000
0.0000 0.0000 4.8479
Na Zn Cd Ir
1 1 2 1
direct
0.0000 0.0000 0.0000 Na
0.5000 0.5000 0.0000 Zn
0.0000 0.5000 0.5000 Cd
0.5000 0.0000 0.5000 Cd
0.5000 0.5000 0.5000 Ir
```

## Properties
E_tot = -2.606 eV per atom
energy of formation = 0.051 eV/atom

***

An optimized crystal structure of TlHgBr2, computed with GGA-PBE.

Geometry as POSCAR:
```
TlHgBr2
1.0
2.1311 1.2304 8.6599
-2.1311 1.2304 8.6599
0.0000 -2.4608 8.6599
Tl Hg Br
1 1 2
direct
0.0000 0.0000 0.0000 Tl
0.2558 0.2558 0.2558 Hg
0.5288 0.5288 0.5288 Br
0.7348 0.7348 0.7348 Br
```

## Properties
E_tot = -1.905 eV per atom
energy relative to the lowest polymorph listed for this composition = 118.9 meV per atom
E_form (uncorrected) = -0.402 eV/atom

***

An optimized crystal structure of Rb2Tl2Se2O, computed with GGA-PBE.

Geometry as POSCAR:
```
Rb2Tl2Se2O
1.0
7.2269 -2.2447 0.0000
7.2269 2.2447 0.0000
-4.3867 0.0000 6.9180
Rb Tl Se O
2 2 2 1
direct
0.0491 0.0491 0.2978 Rb
0.9509 0.9509 0.7022 Rb
0.3217 0.3217 0.9122 Tl
0.6783 0.6783 0.0878 Tl
0.3270 0.3270 0.2888 Se
0.6730 0.6730 0.7112 Se
0.5000 0.5000 0.0000 O
```

## Properties
E_tot = -3.416 eV per atom
E_form (uncorrected) = -0.760 eV/atom